Entry 1:
The following is a DFT calculation (PBE) of crystalline LaTb4Pr2 at its relaxed geometry.

Calculated density, g/cm3: 7.13
Energy, eV/f.u.: -31.39
Distance to the lowest polymorph of the same formula, meV per atom: 25

abc: 11.943 11.943 11.943
angles: 157.66 157.66 31.81
Element x y z (fractional)
La1 0.000 0.000 0.000
Tb1 0.141 0.141 0.000
Tb2 0.250 0.750 0.500
Tb3 0.750 0.250 0.500
Tb4 0.859 0.859 0.000
Pr1 0.398 0.398 0.000
Pr2 0.602 0.602 0.000

Entry 2:
The following is a DFT calculation (PBE) of crystalline LiLuPuZn at its relaxed geometry.

Calculated density, g/cm3: 9.01
Energy, eV/f.u.: -21.78

abc: 5.041 5.041 5.041
angles: 60.00 60.00 60.00
Element x y z (fractional)
Li1 0.000 0.000 0.000
Lu1 0.250 0.250 0.250
Pu1 0.750 0.750 0.750
Zn1 0.500 0.500 0.500

Entry 3:
The following is a DFT calculation (PBE) of crystalline In2Co at its relaxed geometry.

Calculated density, g/cm3: 8.65
Energy, eV/f.u.: -11.50

abc: 4.556 4.556 6.166
angles: 90.00 90.00 120.00
Element x y z (fractional)
In1 0.000 0.000 0.000
In2 0.000 0.000 0.500
In3 0.333 0.667 0.250
In4 0.667 0.333 0.750
Co1 0.333 0.667 0.750
Co2 0.667 0.333 0.250

Entry 4:
The following is a DFT calculation (PBE) of crystalline LaGa2Ni2Pt at its relaxed geometry.

Calculated density, g/cm3: 8.01
Energy, eV/f.u.: -29.73

abc: 4.736 4.736 5.459
angles: 90.00 90.00 90.00
Element x y z (fractional)
La1 0.000 0.000 0.000
Ga1 0.000 0.500 0.500
Ga2 0.500 0.000 0.500
Ni1 0.500 0.500 0.245
Ni2 0.500 0.500 0.755
Pt1 0.000 0.000 0.500

Entry 5:
The following is a DFT calculation (PBE) of crystalline Sr2LiCu2 at its relaxed geometry.

Calculated density, g/cm3: 3.74
Energy, eV/f.u.: -13.65
Distance to the lowest polymorph of the same formula, meV per atom: 19

abc: 7.995 7.995 4.299
angles: 90.00 90.00 90.00
Element x y z (fractional)
Sr1 0.179 0.321 0.000
Sr2 0.321 0.821 0.000
Sr3 0.679 0.179 0.000
Sr4 0.821 0.679 0.000
Li1 0.000 0.000 0.500
Li2 0.500 0.500 0.500
Cu1 0.110 0.610 0.500
Cu2 0.390 0.110 0.500
Cu3 0.610 0.890 0.500
Cu4 0.890 0.390 0.500

Entry 6:
The following is a DFT calculation (PBE) of crystalline Ti2Ni2As at its relaxed geometry.

Calculated density, g/cm3: 6.79
Energy, eV/f.u.: -34.33

abc: 6.352 6.352 3.489
angles: 90.00 90.00 90.00
Element x y z (fractional)
Ti1 0.169 0.331 0.000
Ti2 0.331 0.831 0.000
Ti3 0.669 0.169 0.000
Ti4 0.831 0.669 0.000
Ni1 0.131 0.631 0.500
Ni2 0.369 0.131 0.500
Ni3 0.631 0.869 0.500
Ni4 0.869 0.369 0.500
As1 0.000 0.000 0.500
As2 0.500 0.500 0.500

Entry 7:
The following is a DFT calculation (PBE) of crystalline Pm3NdHo6Th2 at its relaxed geometry.

Calculated density, g/cm3: 8.72
Energy, eV/f.u.: -61.03

abc: 6.220 6.220 11.744
angles: 95.08 95.08 119.99
Element x y z (fractional)
Pm1 0.000 0.000 0.000
Pm2 0.334 0.666 0.000
Pm3 0.666 0.334 0.000
Nd1 0.500 0.500 0.500
Ho1 0.079 0.418 0.254
Ho2 0.244 0.244 0.746
Ho3 0.418 0.079 0.254
Ho4 0.582 0.921 0.746
Ho5 0.756 0.756 0.254
Ho6 0.921 0.582 0.746
Th1 0.167 0.833 0.500
Th2 0.833 0.167 0.500

Entry 8:
The following is a DFT calculation (PBE) of crystalline TlRe2Pb at its relaxed geometry.

Calculated density, g/cm3: 14.17
Energy, eV/f.u.: -27.16
Distance to the lowest polymorph of the same formula, meV per atom: 507

abc: 6.613 6.613 6.613
angles: 151.94 137.26 51.91
Element x y z (fractional)
Tl1 0.000 0.000 0.000
Re1 0.550 0.550 0.000
Re2 0.697 0.197 0.500
Pb1 0.289 0.789 0.500